Entry 1:
## HfMnTc2 (PBE)

Data for crystalline HfMnTc2 at its relaxed geometry.

**E above lowest polymorph**: 0.044 eV per atom
**Final energy**: -40.21 eV/f.u.

a b c (Å): 6.279 6.279 6.279
angles (deg): 90.00 90.00 90.00
Space group Fm-3m (No. 225)
Inequivalent atoms, fractional coordinates:
Hf  0.000  0.000  0.000 [4 per cell]
Mn  0.000  0.000  0.500 [4 per cell]
Tc  0.250  0.250  0.250 [8 per cell]

***

Entry 2:
## CuSi2As (PBE)

Data for crystalline CuSi2As at its relaxed geometry.

**E above lowest polymorph**: 0.174 eV per atom
**Final energy**: -18.06 eV/f.u.
**Energy relative to the elements, uncorrected**: 383 meV per atom

a b c (Å): 2.695 3.428 6.676
angles (deg): 90.00 90.00 90.00
Space group Pmmm (No. 47)
Inequivalent atoms, fractional coordinates:
Cu  0.000  0.000  0.000 [1 per cell]
Si  0.500  0.500  0.212 [2 per cell]
As  0.000  0.000  0.500 [1 per cell]

***

Entry 3:
## AcY2Te4 (PBE)

Data for crystalline AcY2Te4 at its relaxed geometry.

**Final energy**: -39.86 eV/f.u.
**Energy relative to the elements, uncorrected**: -1465 meV per atom

a b c (Å): 4.444 14.401 15.106
angles (deg): 90.00 90.00 90.00
Space group Cmcm (No. 63)
Inequivalent atoms, fractional coordinates:
Ac  0.000  0.121  0.250 [4 per cell]
Y  0.000  0.370  0.063 [8 per cell]
Te  0.000  0.000  0.000 [4 per cell]
Te  0.000  0.271  0.619 [8 per cell]
Te  0.000  0.449  0.250 [4 per cell]